No. 1
Density functional theory data (PBE) for GaAsRuBr2 after structural relaxation.

Values from the calculation:
- ρ: 5.10 g cm⁻³
- Volume: 26.4 Å³/atom
- SG: P4/mmm
- ΔE_f (raw): 0.1437 eV/atom

Unit cell a=5.340 b=5.340 c=4.629 alpha=90.00 beta=90.00 gamma=90.00
Fractional positions:
Ru: 0.000 0.000 0.000
As: 0.000 0.000 0.500
Ga: 0.500 0.500 0.500
Br: 0.000 0.500 0.000
Br: 0.500 0.000 0.000

No. 2
Density functional theory data (PBE) for LaYMo3 after structural relaxation.

Values from the calculation:
- ρ: 7.33 g cm⁻³
- Volume: 23.4 Å³/atom
- Raw total energy: -35.48 eV per cell
- SG: Pm-3m

Unit cell a=4.889 b=4.889 c=4.889 alpha=90.00 beta=90.00 gamma=90.00
Fractional positions:
Y: 0.500 0.500 0.500
Mo: 0.000 0.500 0.000
Mo: 0.000 0.000 0.500
Mo: 0.500 0.000 0.000
La: 0.000 0.000 0.000

No. 3
Density functional theory data (PBE) for Sr3CaRh after structural relaxation.

Values from the calculation:
- ρ: 2.83 g cm⁻³
- Volume: 47.6 Å³/atom
- Raw total energy: -27.05 eV per cell
- SG: P6_3/mmc

Unit cell a=4.776 b=4.776 c=24.088 alpha=90.00 beta=90.00 gamma=120.00
Fractional positions:
Sr: 0.000 0.000 0.250
Sr: 0.000 0.000 0.750
Sr: 0.333 0.667 0.872
Sr: 0.333 0.667 0.628
Sr: 0.667 0.333 0.372
Sr: 0.667 0.333 0.128
Ca: 0.000 0.000 0.000
Ca: 0.000 0.000 0.500
Rh: 0.333 0.667 0.750
Rh: 0.667 0.333 0.250

No. 4
Density functional theory data (PBE) for Tb2Dy3Ag2 after structural relaxation.

Values from the calculation:
- ρ: 8.87 g cm⁻³
- Volume: 27.3 Å³/atom
- Raw total energy: -29.53 eV per cell
- SG: R-3m

Unit cell a=5.350 b=5.349 c=8.309 alpha=108.76 beta=90.00 gamma=120.01
Fractional positions:
Tb: 0.925 0.849 0.274
Tb: 0.075 0.151 0.726
Dy: 0.500 0.000 0.000
Dy: 0.661 0.323 0.484
Dy: 0.339 0.677 0.516
Ag: 0.788 0.575 0.864
Ag: 0.212 0.425 0.136